1.
First-principles (PBE) data for a geometry-optimized DyTeN3 structure, as listed in the Open Quantum Materials Database.

## Properties
* calculated density: 6768 kg/m3
* total moment: 0.0 μB/cell
* E_tot: -65.6 eV/cell

Cell: 5.7765 3.7657 7.9909 Å, 90.00 110.36 90.00°
With the nearest neighbours (Å) after each atom.
Positions (direct):
Dy 0.0472 0.2500 0.3209  6 N 2.25-2.51
Dy 0.9528 0.7500 0.6791  6 N 2.25-2.51
Te 0.4875 0.2500 0.8226  4 N 1.89-2.10
Te 0.5125 0.7500 0.1774  4 N 1.89-2.10
N 0.1800 0.2500 0.6212  1 Te 1.94
N 0.2196 0.7500 0.2330  1 Te 1.89
N 0.3902 0.7500 0.8937  3 Te 2.10-2.13
N 0.6098 0.2500 0.1063  3 Te 2.10-2.13
N 0.7804 0.2500 0.7670  1 Te 1.89
N 0.8200 0.7500 0.3788  1 Te 1.94

=====

2.
First-principles (PBE) data for a geometry-optimized Ac2AlPd6 structure, as listed in the Open Quantum Materials Database.

## Properties
* calculated density: 10250 kg/m3
* total moment: 0.0 μB/cell
* E_tot: -50.5 eV/cell

Cell: 5.9290 5.9290 5.9581 Å, 90.00 90.00 120.00°
With the nearest neighbours (Å) after each atom.
Positions (direct):
Ac 0.3333 0.6667 0.2985  9 Pd 3.03-3.38
Ac 0.6667 0.3333 0.7015  9 Pd 3.03-3.38
Al 0.0000 0.0000 0.5000  6 Pd 2.52
Pd 0.1693 0.3386 0.8065  1 Al 2.52
Pd 0.1693 0.8307 0.8065  1 Al 2.52
Pd 0.3386 0.1693 0.1935  1 Al 2.52
Pd 0.6614 0.8307 0.8065  1 Al 2.52
Pd 0.8307 0.1693 0.1935  1 Al 2.52
Pd 0.8307 0.6614 0.1935  1 Al 2.52

=====

3.
First-principles (PBE) data for a geometry-optimized DyTm3Ni4 structure, as listed in the Open Quantum Materials Database.

## Properties
* calculated density: 9760 kg/m3
* formation energy from the elements: -0.495 eV/atom
* total moment: 0.0 μB/cell

Cell: 5.3691 4.1239 6.9467 Å, 90.00 90.13 90.00°
With the nearest neighbours (Å) after each atom.
Positions (direct):
Dy 0.0000 0.0000 0.0000  7 Ni 2.85-2.88
Tm 0.2327 0.0000 0.4996  7 Ni 2.84-2.88
Tm 0.5001 0.5000 0.1403  7 Ni 2.84-2.90
Tm 0.7329 0.5000 0.6395  7 Ni 2.82-2.89
Ni 0.2405 0.5000 0.7800  2 Ni 2.53, 1 Tm 2.82
Ni 0.4962 0.0000 0.8558  2 Ni 2.53
Ni 0.7362 0.0000 0.3588  2 Ni 2.54, 3 Tm 2.84
Ni 0.9949 0.5000 0.2857  2 Ni 2.54, 4 Tm 2.83-2.84

=====

4.
First-principles (PBE) data for a geometry-optimized Co21Re2B6 structure, as listed in the Open Quantum Materials Database.

## Properties
* calculated density: 9807 kg/m3
* total moment: 0.0 μB/cell
* E_tot: -218.0 eV/cell

Cell: 7.3746 7.3746 7.3746 Å, 60.00 60.00 60.00°
With the nearest neighbours (Å) after each atom.
Positions (direct):
Co 0.0000 0.0000 0.0000  12 Co 2.50
Co 0.0000 0.0000 0.3388  2 B 2.08
Co 0.0000 0.0000 0.6612  2 B 2.08
Co 0.0000 0.3388 0.0000  2 B 2.08
Co 0.0000 0.3388 0.6612  2 B 2.08
Co 0.0000 0.6612 0.0000  2 B 2.08
Co 0.0000 0.6612 0.3388  2 B 2.08
Co 0.1436 0.6188 0.6188  3 B 2.07
Co 0.3388 0.0000 0.0000  2 B 2.08
Co 0.3388 0.0000 0.6612  2 B 2.08
Co 0.3388 0.6612 0.0000  2 B 2.08
Co 0.3812 0.3812 0.3812  3 B 2.07
Co 0.3812 0.3812 0.8564  3 B 2.07
Co 0.3812 0.8564 0.3812  3 B 2.07
Co 0.6188 0.1436 0.6188  3 B 2.07
Co 0.6188 0.6188 0.1436  3 B 2.07
Co 0.6188 0.6188 0.6188  3 B 2.07
Co 0.6612 0.0000 0.0000  2 B 2.08
Co 0.6612 0.0000 0.3388  2 B 2.08
Co 0.6612 0.3388 0.0000  2 B 2.08
Co 0.8564 0.3812 0.3812  3 B 2.07
Re 0.2500 0.2500 0.2500  4 Co 2.37
Re 0.7500 0.7500 0.7500  4 Co 2.37
B 0.2755 0.2755 0.7245  8 Co 2.07-2.08
B 0.2755 0.7245 0.2755  8 Co 2.07-2.08
B 0.2755 0.7245 0.7245  8 Co 2.07-2.08
B 0.7245 0.2755 0.2755  8 Co 2.07-2.08
B 0.7245 0.2755 0.7245  8 Co 2.07-2.08
B 0.7245 0.7245 0.2755  8 Co 2.07-2.08

=====

5.
First-principles (PBE) data for a geometry-optimized AcLaZn structure, as listed in the Open Quantum Materials Database.

## Properties
* calculated density: 6836 kg/m3
* formation energy from the elements: 0.010 eV/atom
* total moment: 0.0 μB/cell

Cell: 5.2916 5.2916 5.2916 Å, 60.00 60.00 60.00°
With the nearest neighbours (Å) after each atom.
Positions (direct):
Ac 0.0000 0.0000 0.0000  4 Zn 3.24
La 0.5000 0.5000 0.5000  4 Zn 3.24
Zn 0.2500 0.2500 0.2500  4 La 3.24, 4 Ac 3.24

=====

6.
First-principles (PBE) data for a geometry-optimized CoSi3 structure, as listed in the Open Quantum Materials Database.

## Properties
* calculated density: 4682 kg/m3
* total moment: 0.0 μB/cell
* E_tot: -21.8 eV/cell

Cell: 4.1566 4.1566 4.1566 Å, 60.00 60.00 60.00°
With the nearest neighbours (Å) after each atom.
Positions (direct):
Co 0.0000 0.0000 0.0000  8 Si 2.55
Si 0.2500 0.2500 0.2500  4 Co 2.55, 4 Si 2.55
Si 0.5000 0.5000 0.5000  8 Si 2.55
Si 0.7500 0.7500 0.7500  4 Co 2.55, 4 Si 2.55

=====

Please write out number 3 again, unchanged.
First-principles (PBE) data for a geometry-optimized DyTm3Ni4 structure, as listed in the Open Quantum Materials Database.

## Properties
* calculated density: 9760 kg/m3
* formation energy from the elements: -0.495 eV/atom
* total moment: 0.0 μB/cell

Cell: 5.3691 4.1239 6.9467 Å, 90.00 90.13 90.00°
With the nearest neighbours (Å) after each atom.
Positions (direct):
Dy 0.0000 0.0000 0.0000  7 Ni 2.85-2.88
Tm 0.2327 0.0000 0.4996  7 Ni 2.84-2.88
Tm 0.5001 0.5000 0.1403  7 Ni 2.84-2.90
Tm 0.7329 0.5000 0.6395  7 Ni 2.82-2.89
Ni 0.2405 0.5000 0.7800  2 Ni 2.53, 1 Tm 2.82
Ni 0.4962 0.0000 0.8558  2 Ni 2.53
Ni 0.7362 0.0000 0.3588  2 Ni 2.54, 3 Tm 2.84
Ni 0.9949 0.5000 0.2857  2 Ni 2.54, 4 Tm 2.83-2.84